[1]
Density functional theory data (GGA-PBE) for AlMoPb after structural relaxation.

POSCAR file:
```
AlMoPb
1.0
4.7231 0.0000 0.0000
-2.3615 4.0903 0.0000
0.0000 0.0000 3.0276
Al Mo Pb
1 1 1
direct
0.0000 0.0000 0.0000
0.6667 0.3333 0.0000
0.3333 0.6667 0.5000
```

Values from the calculation:
Energy relative to the lowest polymorph listed for this composition ... 0.272 eV/atom
Symmetry ... No. 187
DFT formation energy ... 0.584 eV/atom

***

[2]
Density functional theory data (GGA-PBE) for Li3Mg2Ag2 after structural relaxation.

POSCAR file:
```
Li3Mg2Ag2
1.0
4.0004 -2.3315 0.0000
4.0004 2.3315 0.0000
-2.7656 0.0000 6.7365
Li Mg Ag
3 2 2
direct
0.0000 0.0000 0.0000
0.1420 0.1420 0.4227
0.8580 0.8580 0.5773
0.2846 0.2846 0.8564
0.7154 0.7154 0.1436
0.4294 0.4294 0.2848
0.5706 0.5706 0.7152
```

Values from the calculation:
Energy relative to the lowest polymorph listed for this composition ... 0.000 eV/atom
Symmetry ... No. 12
DFT formation energy ... -0.184 eV/atom

***

[3]
Density functional theory data (GGA-PBE) for Tm12AlIn6 after structural relaxation.

POSCAR file:
```
Tm12AlIn6
1.0
6.7230 3.8815 4.0346
-6.7230 3.8815 4.0346
0.0000 -7.7630 4.0346
Tm Al In
12 1 6
direct
0.0554 0.6788 0.9425
0.0575 0.9446 0.3212
0.1773 0.4289 0.5678
0.3212 0.0575 0.9446
0.4289 0.5678 0.1773
0.4322 0.8227 0.5711
0.5678 0.1773 0.4289
0.5711 0.4322 0.8227
0.6788 0.9425 0.0554
0.8227 0.5711 0.4322
0.9425 0.0554 0.6788
0.9446 0.3212 0.0575
0.0000 0.0000 0.0000
0.1374 0.6149 0.3020
0.3020 0.1374 0.6149
0.3851 0.6980 0.8626
0.6149 0.3020 0.1374
0.6980 0.8626 0.3851
0.8626 0.3851 0.6980
```

Values from the calculation:
Symmetry ... No. 148
DFT formation energy ... 0.028 eV/atom

***

[4]
Density functional theory data (GGA-PBE) for YbGdRh2 after structural relaxation.

POSCAR file:
```
YbGdRh2
1.0
0.0000 3.4289 3.4289
3.4289 0.0000 3.4289
3.4289 3.4289 0.0000
Yb Gd Rh
1 1 2
direct
0.0000 0.0000 0.0000
0.5000 0.5000 0.5000
0.2500 0.2500 0.2500
0.7500 0.7500 0.7500
```

Values from the calculation:
Symmetry ... No. 225
DFT formation energy ... -0.701 eV/atom

***

[5]
Density functional theory data (GGA-PBE) for AcCeSiSn after structural relaxation.

POSCAR file:
```
AcCeSiSn
1.0
0.0000 3.8713 3.8713
3.8713 0.0000 3.8713
3.8713 3.8713 0.0000
Ac Ce Si Sn
1 1 1 1
direct
0.0000 0.0000 0.0000
0.5000 0.5000 0.5000
0.2500 0.2500 0.2500
0.7500 0.7500 0.7500
```

Values from the calculation:
Symmetry ... No. 216
Total energy ... -5.221 eV/atom

***

[6]
Density functional theory data (GGA-PBE) for Ta2FeSb after structural relaxation.

POSCAR file:
```
Ta2FeSb
1.0
3.8120 0.0000 0.0000
0.0000 1.6436 5.5844
0.0000 -1.6436 5.5844
Ta Fe Sb
2 1 1
direct
0.0000 0.0000 0.0000
0.5000 0.3580 0.3580
0.5000 0.5875 0.5875
0.0000 0.7360 0.7360
```

Values from the calculation:
Symmetry ... No. 38
Total energy ... -8.976 eV/atom

***

[7]
Density functional theory data (GGA-PBE) for InTcCl2 after structural relaxation.

POSCAR file:
```
InTcCl2
1.0
3.1784 -4.5979 0.0000
3.1784 4.5979 0.0000
-1.6764 0.0000 2.8628
In Tc Cl
1 1 2
direct
0.0000 0.0000 0.0000
0.5000 0.5000 0.0000
0.0000 0.5000 0.0000
0.5000 0.0000 0.0000
```

Values from the calculation:
Energy relative to the lowest polymorph listed for this composition ... 0.573 eV/atom
Symmetry ... No. 12

***

[8]
Density functional theory data (GGA-PBE) for BaCa2AgAu4 after structural relaxation.

POSCAR file:
```
BaCa2AgAu4
1.0
2.5164 1.4528 9.7037
-2.5164 1.4528 9.7037
0.0000 -2.9057 9.7037
Ba Ca Ag Au
1 2 1 4
direct
0.0000 0.0000 0.0000
0.2237 0.2237 0.2237
0.7763 0.7763 0.7763
0.5000 0.5000 0.5000
0.1189 0.1189 0.1189
0.4017 0.4017 0.4017
0.5983 0.5983 0.5983
0.8811 0.8811 0.8811
```

Values from the calculation:
Symmetry ... No. 166
DFT formation energy ... -0.618 eV/atom

***

[9]
Density functional theory data (GGA-PBE) for Sn2OF after structural relaxation.

POSCAR file:
```
Sn2OF
1.0
0.0000 3.2257 3.2257
3.2257 0.0000 3.2257
3.2257 3.2257 0.0000
Sn O F
2 1 1
direct
0.2500 0.2500 0.2500
0.7500 0.7500 0.7500
0.0000 0.0000 0.0000
0.5000 0.5000 0.5000
```

Values from the calculation:
Energy relative to the lowest polymorph listed for this composition ... 0.499 eV/atom
Symmetry ... No. 225

***

[10]
Density functional theory data (GGA-PBE) for LiTmZr after structural relaxation.

POSCAR file:
```
LiTmZr
1.0
-1.6616 1.6616 6.4988
1.6616 -1.6616 6.4988
1.6616 1.6616 -6.4988
Li Tm Zr
1 1 1
direct
0.0000 0.0000 0.0000
0.6765 0.6765 0.0000
0.3423 0.3423 0.0000
```

Values from the calculation:
Energy relative to the lowest polymorph listed for this composition ... 0.034 eV/atom
Symmetry ... No. 107
DFT formation energy ... 0.130 eV/atom

***

[11]
Density functional theory data (GGA-PBE) for RbCrS2 after structural relaxation.

POSCAR file:
```
RbCrS2
1.0
0.0000 4.7877 4.7476
4.7797 0.0000 4.7476
4.7797 4.7877 0.0000
Rb Cr S
2 2 4
direct
0.0000 0.0000 0.0000
0.2500 0.2500 0.2500
0.5020 0.5020 0.4980
0.7520 0.7520 0.7480
0.1272 0.6264 0.5302
0.5338 0.7198 0.6236
0.6264 0.1272 0.7162
0.7198 0.5338 0.1228
```

Values from the calculation:
Symmetry ... No. 43
Total energy ... -5.422 eV/atom

***

[12]
Density functional theory data (GGA-PBE) for MgTl2As after structural relaxation.

POSCAR file:
```
MgTl2As
1.0
3.9895 0.0000 0.0000
0.0000 3.9895 0.0000
0.0000 0.0000 6.3611
Mg Tl As
1 2 1
direct
0.0000 0.0000 0.0000
0.5000 0.5000 0.2562
0.5000 0.5000 0.7438
0.0000 0.0000 0.5000
```

Values from the calculation:
Energy relative to the lowest polymorph listed for this composition ... 0.215 eV/atom
Symmetry ... No. 123
DFT formation energy ... 0.098 eV/atom

***

Number 7 is which compound? InTcCl2